VASP calculation (GGA-PBE) on a relaxed KCdN2F crystal.

Cell lengths 5.549, 5.549, 4.778 Å; angles 90.00, 90.00, 90.00 degrees
Atoms (fractional coordinates):
K (0.000, 0.000, 0.000)
Cd (0.500, 0.500, 0.500)
N (0.000, 0.500, 0.000)
N (0.500, 0.000, 0.000)
F (0.000, 0.000, 0.500)

Properties
Formation energy from raw total energies in eV per atom: 1.261
Total magnetic moment in Bohr magnetons per cell: 5.9
Polymorph energy (0 for the lowest one) in meV/atom: 824
E in eV per atom: -2.85

VASP calculation (GGA-PBE) on a relaxed KCdN2F crystal.

Cell lengths 4.390, 4.390, 4.832 Å; angles 90.00, 90.00, 90.00 degrees
Atoms (fractional coordinates):
K (0.000, 0.000, 0.000)
Cd (0.500, 0.500, 0.500)
N (0.000, 0.500, 0.500)
N (0.500, 0.000, 0.500)
F (0.500, 0.500, 0.000)

Properties
Formation energy from raw total energies in eV per atom: 0.437
Total magnetic moment in Bohr magnetons per cell: 3.5
Polymorph energy (0 for the lowest one) in meV/atom: 0
E in eV per atom: -3.67

VASP calculation (GGA-PBE) on a relaxed KCdNF2 crystal.

Cell lengths 4.663, 4.663, 4.396 Å; angles 90.00, 90.00, 90.00 degrees
Atoms (fractional coordinates):
K (0.000, 0.000, 0.000)
Cd (0.500, 0.500, 0.500)
N (0.500, 0.500, 0.000)
F (0.000, 0.500, 0.500)
F (0.500, 0.000, 0.500)

Properties
Formation energy from raw total energies in eV per atom: -0.976
Total magnetic moment in Bohr magnetons per cell: 2.0
Polymorph energy (0 for the lowest one) in meV/atom: 0
E in eV per atom: -3.79

Please write out number 3 again, unchanged.
VASP calculation (GGA-PBE) on a relaxed KCdNF2 crystal.

Cell lengths 4.663, 4.663, 4.396 Å; angles 90.00, 90.00, 90.00 degrees
Atoms (fractional coordinates):
K (0.000, 0.000, 0.000)
Cd (0.500, 0.500, 0.500)
N (0.500, 0.500, 0.000)
F (0.000, 0.500, 0.500)
F (0.500, 0.000, 0.500)

Properties
Formation energy from raw total energies in eV per atom: -0.976
Total magnetic moment in Bohr magnetons per cell: 2.0
Polymorph energy (0 for the lowest one) in meV/atom: 0
E in eV per atom: -3.79

Question: Look up the formation energy from raw total energies of the third one.
Answer: -0.976 eV per atom